A plane-wave DFT calculation with PBE+U was carried out for a relaxed Ga2FeBO6 crystal.

Cell lengths 6.7789, 6.7789, 5.0693 Å; angles 104.67, 104.67, 98.18 degrees
Fractional coordinates of all 20 atoms:
1 Ga 0.0402 0.2273 0.1465
2 Ga 0.2273 0.0402 0.6465
3 Ga 0.7727 0.9598 0.3535
4 Ga 0.9598 0.7727 0.8535
5 Fe 0.4001 0.5999 0.7500
6 Fe 0.5999 0.4001 0.2500
7 B 0.3332 0.6668 0.2500
8 B 0.6668 0.3332 0.7500
9 O 0.0486 0.1999 0.5063
10 O 0.1841 0.6443 0.9711
11 O 0.1999 0.0486 0.0063
12 O 0.3069 0.4596 0.3137
13 O 0.3557 0.8159 0.5289
14 O 0.4596 0.3069 0.8137
15 O 0.5404 0.6931 0.1863
16 O 0.6443 0.1841 0.4711
17 O 0.6931 0.5404 0.6863
18 O 0.8001 0.9514 0.9937
19 O 0.8159 0.3557 0.0289
20 O 0.9514 0.8001 0.4937

Energy: -6.577 eV per atom
Crystal system: monoclinic